Density functional theory data (PBE-GGA) for an optimized crystal structure of RbNaCeBr5.

Geometry as CIF:
```
data_RbNaCeBr5
_chemical_formula_sum 'Rb2 Na2 Ce2 Br10'
_cell_length_a 8.3369
_cell_length_b 8.3369
_cell_length_c 11.0866
_cell_angle_alpha 102.49
_cell_angle_beta 102.49
_cell_angle_gamma 109.88
_space_group_name_H-M_alt 'P 1'
_space_group_IT_number 1
loop_
_space_group_symop_operation_xyz
'x,y,z'
loop_
_atom_site_label
_atom_site_type_symbol
_atom_site_fract_x
_atom_site_fract_y
_atom_site_fract_z
Na1 Na 0.3123 0.6877 0.7500
Rb1 Rb 0.6564 0.3436 0.7500
Br1 Br 0.9226 0.0774 0.7500
Rb2 Rb 0.3436 0.6564 0.2500
Br2 Br 0.2584 0.3663 0.5612
Br3 Br 0.9147 0.3054 0.0956
Br4 Br 0.7416 0.6337 0.4388
Br5 Br 0.6946 0.0853 0.4044
Ce1 Ce 0.0000 0.0000 0.5000
Br6 Br 0.3663 0.2584 0.0612
Br7 Br 0.0853 0.6946 0.9044
Br8 Br 0.3054 0.9147 0.5956
Br9 Br 0.0774 0.9226 0.2500
Na2 Na 0.6877 0.3123 0.2500
Br10 Br 0.6337 0.7416 0.9388
Ce2 Ce 0.0000 0.0000 0.0000
```

E_tot (eV per cell): -60.83
ΔE_f (raw) (eV/atom): -1.729